i | Density functional theory data (PBE) for Tl2AuI after structural relaxation.

Computed properties:
As for the density of states at the Fermi level: 0.02 states/eV/atom. As for the spin magnetization: 0.0 μB per formula unit.

abc: 8.0470 8.0470 8.0470
angles: 90.00 90.00 90.00
Closest atoms and distances in Å follow each position.
Space group Fm-3m (No. 225)
Inequivalent atoms, fractional coordinates:
Tl 0.2500 0.2500 0.2500 x8  4 I 3.48, 4 Au 3.48
Au 0.0000 0.0000 0.0000 x4  8 Tl 3.48
I 0.0000 0.0000 0.5000 x4  8 Tl 3.48

=====

ii | Density functional theory data (PBE) for Tl2AuI after structural relaxation.

Computed properties:
As for the density of states at the Fermi level: 0.10 states/eV/atom. As for the spin magnetization: 0.0 μB per formula unit.

abc: 5.6694 5.6694 4.0269
angles: 90.00 90.00 90.00
Closest atoms and distances in Å follow each position.
Space group P4/mmm (No. 123)
Inequivalent atoms, fractional coordinates:
Tl 0.0000 0.5000 0.0000 x2  4 I 3.48, 4 Au 3.48
Au 0.0000 0.0000 0.5000 x1  8 Tl 3.48
I 0.5000 0.5000 0.5000 x1  8 Tl 3.48

=====

Most stable: ii (next structure +7 meV per atom)

=====

i | Density functional theory data (PBE) for Tl2AuI after structural relaxation.

Computed properties:
As for the density of states at the Fermi level: 0.14 states/eV/atom. As for the spin magnetization: 0.0 μB per formula unit.

abc: 4.6538 4.6538 22.8270
angles: 90.00 90.00 120.00
Closest atoms and distances in Å follow each position.
Space group R3m (No. 160, hexagonal axes)
Inequivalent atoms, fractional coordinates:
Tl 0.0000 0.0000 0.0000 x3  3 Au 3.09, 3 I 3.46
Tl 0.0000 0.0000 0.1966 x3  3 Au 3.12
Au 0.0000 0.0000 0.5996 x3  6 Tl 3.09-3.12
I 0.0000 0.0000 0.4285 x3  6 Tl 3.46-3.55

=====

ii | Density functional theory data (PBE) for Tl2AuI after structural relaxation.

Computed properties:
As for the density of states at the Fermi level: 0.24 states/eV/atom. As for the spin magnetization: 0.0 μB per formula unit.

abc: 3.9698 3.9698 7.9932
angles: 90.00 90.00 90.00
Closest atoms and distances in Å follow each position.
Space group P4/mmm (No. 123)
Inequivalent atoms, fractional coordinates:
Tl 0.0000 0.0000 0.2192 x2  4 Au 3.31, 1 Tl 3.50, 4 I 3.59
Au 0.5000 0.5000 0.0000 x1  8 Tl 3.31
I 0.5000 0.5000 0.5000 x1  8 Tl 3.59, 4 I 3.97, 2 Au 4.00

=====

Most stable: i (next structure +38 meV per atom)

=====

i | Density functional theory data (PBE) for TlAu2I after structural relaxation.

Computed properties:
As for the density of states at the Fermi level: 0.31 states/eV/atom. As for the spin magnetization: 0.0 μB per formula unit.

abc: 7.9379 7.9379 6.8176
angles: 90.00 90.00 90.00
Closest atoms and distances in Å follow each position.
Space group I-42d (No. 122)
Inequivalent atoms, fractional coordinates:
Tl 0.0000 0.0000 0.0000 x4  4 Au 2.91
Au 0.2454 0.2500 0.1250 x8  2 Tl 2.91, 2 I 2.96
I 0.0000 0.0000 0.5000 x4  4 Au 2.96

=====

ii | Density functional theory data (PBE) for TlAu2I after structural relaxation.

Computed properties:
As for the density of states at the Fermi level: 0.21 states/eV/atom. As for the spin magnetization: 0.0 μB per formula unit.

abc: 7.4025 7.4025 7.4025
angles: 90.00 90.00 90.00
Closest atoms and distances in Å follow each position.
Space group Fm-3m (No. 225)
Inequivalent atoms, fractional coordinates:
Tl 0.0000 0.0000 0.0000 x4  8 Au 3.21
Au 0.2500 0.2500 0.2500 x8  4 Tl 3.21, 4 I 3.21
I 0.0000 0.0000 0.5000 x4  8 Au 3.21

=====

Most stable: i (next structure +114 meV per atom)

=====

i | Density functional theory data (PBE) for TlAu2I8 after structural relaxation.

Computed properties:
As for the density of states at the Fermi level: 0.43 states/eV/atom. As for the spin magnetization: 0.0 μB per formula unit.

abc: 13.0818 9.3864 8.3461
angles: 90.00 110.03 90.00
Closest atoms and distances in Å follow each position.
Space group C2/m (No. 12)
Inequivalent atoms, fractional coordinates:
Tl 0.0000 0.0000 0.0000 x2  2 I 2.81
Au 0.2438 0.0000 0.7500 x4  3 I 2.61-2.68
I 0.0656 0.5000 0.2845 x4  1 Au 2.61
I 0.1052 0.2011 0.7762 x8  1 Au 2.68
I 0.1928 0.0000 0.2850 x4  1 Tl 2.81

=====

ii | Density functional theory data (PBE) for TlAu2I8 after structural relaxation.

Computed properties:
As for the density of states at the Fermi level: 0.64 states/eV/atom. As for the spin magnetization: 0.0 μB per formula unit.

abc: 12.2836 10.7142 7.5619
angles: 90.00 102.78 90.00
Closest atoms and distances in Å follow each position.
Space group C2/m (No. 12)
Inequivalent atoms, fractional coordinates:
Tl 0.0000 0.0000 0.0000 x2  4 I 3.05
Au 0.1759 0.0000 0.5950 x4  3 I 2.61-2.72
I 0.0910 0.5000 0.1481 x4  1 I 2.79, 1 Au 3.08
I 0.1007 0.1880 0.7793 x8  1 Au 2.72, 1 Tl 3.05
I 0.2440 0.5000 0.6972 x4  1 Au 2.61

=====

Most stable: ii (next structure +45 meV per atom)

=====

i | Density functional theory data (PBE) for Tl2AuI5 after structural relaxation.

Computed properties:
As for the density of states at the Fermi level: 0.03 states/eV/atom. As for the spin magnetization: 0.0 μB per formula unit.

abc: 8.9657 12.1516 7.5496
angles: 90.00 126.40 90.00
Closest atoms and distances in Å follow each position.
Space group Cm (No. 8)
Inequivalent atoms, fractional coordinates:
Tl 0.0000 0.2500 0.0000 x4  8 I 3.71-3.87
Au 0.4959 0.0000 0.5010 x2  4 I 2.72
I 0.0150 0.2770 0.5010 x4  1 Au 2.72
I 0.1051 0.0000 0.5010 x2  4 I 3.46, 1 Au 3.50
I 0.2380 0.5000 0.9471 x2  1 Au 2.72
I 0.2919 0.0000 0.0549 x2  1 Au 2.72

=====

ii | Density functional theory data (PBE) for Tl2AuI5 after structural relaxation.

Computed properties:
As for the spin magnetization: 0.0 μB per formula unit.

abc: 14.2835 11.2788 8.8974
angles: 90.00 94.86 90.00
Closest atoms and distances in Å follow each position.
Space group P2_1/c (No. 14)
Inequivalent atoms, fractional coordinates:
Tl 0.0173 0.1165 0.2505 x4  5 I 3.34-3.61
Tl 0.3468 0.0833 0.0651 x4  4 I 3.35-3.59
Au 0.2908 0.5752 0.0661 x4  4 I 2.69-2.72
I 0.1249 0.0924 0.9084 x4  3 Tl 3.34-3.53, 1 I 3.40
I 0.1261 0.6626 0.9401 x4  1 Au 2.71
I 0.2312 0.1406 0.4694 x4  1 Au 2.70
I 0.3602 0.7087 0.6524 x4  1 Au 2.72
I 0.4366 0.0392 0.7119 x4  1 Au 2.69

=====

Most stable: i (next structure +8 meV per atom)

=====

i | Density functional theory data (PBE) for Tl2AuI3 after structural relaxation.

Computed properties:
As for the density of states at the Fermi level: 0.00 states/eV/atom. As for the spin magnetization: 0.0 μB per formula unit.

abc: 13.4399 10.1342 8.9970
angles: 90.00 90.00 90.00
Closest atoms and distances in Å follow each position.
Space group Cmcm (No. 63)
Inequivalent atoms, fractional coordinates:
Tl 0.1678 0.0000 0.0000 x8  6 I 3.42-3.70
Au 0.0000 0.2802 0.2500 x4  2 I 2.58
I 0.0000 0.1239 0.7500 x4  4 Tl 3.42
I 0.1923 0.2771 0.2500 x8  1 Au 2.58

=====

ii | Density functional theory data (PBE) for Tl2AuI3 after structural relaxation.

Computed properties:
As for the density of states at the Fermi level: 0.00 states/eV/atom. As for the spin magnetization: 0.0 μB per formula unit.

abc: 15.6498 7.2194 10.0546
angles: 90.00 116.36 90.00
Closest atoms and distances in Å follow each position.
Space group C2/c (No. 15)
Inequivalent atoms, fractional coordinates:
Tl 0.1639 0.0059 0.0967 x8  4 I 3.29-3.66
Au 0.0000 0.4984 0.2500 x4  2 I 2.62
I 0.0000 0.9995 0.2500 x4  4 Tl 3.29-3.53, 2 Au 3.60-3.62
I 0.1486 0.4982 0.5112 x8  1 Au 2.62

=====

Most stable: i (next structure +35 meV per atom)

=====

i | Density functional theory data (PBE) for VAuI2 after structural relaxation.

Computed properties:
As for the density of states at the Fermi level: 0.64 states/eV/atom. As for the spin magnetization: 3.8 μB per formula unit.

abc: 6.6192 6.6192 12.5573
angles: 90.00 90.00 90.00
Closest atoms and distances in Å follow each position.
Space group I-42d (No. 122)
Inequivalent atoms, fractional coordinates:
V 0.0000 0.0000 0.0000 x4  4 I 2.75
Au 0.0000 0.0000 0.5000 x4  4 I 2.89
I 0.2317 0.2500 0.1250 x8  2 V 2.75, 2 Au 2.89

=====

ii | Density functional theory data (PBE) for VAuI2 after structural relaxation.

Computed properties:
As for the density of states at the Fermi level: 0.85 states/eV/atom. As for the spin magnetization: 2.8 μB per formula unit.

abc: 7.3615 7.3615 7.3615
angles: 90.00 90.00 90.00
Closest atoms and distances in Å follow each position.
Space group Fm-3m (No. 225)
Inequivalent atoms, fractional coordinates:
V 0.0000 0.0000 0.0000 x4  8 I 3.19
Au 0.0000 0.0000 0.5000 x4  8 I 3.19
I 0.2500 0.2500 0.2500 x8  4 V 3.19, 4 Au 3.19

=====

Most stable: i (next structure +211 meV per atom)

=====

i | Density functional theory data (PBE) for VAu3I after structural relaxation.

Computed properties:
As for the density of states at the Fermi level: 1.22 states/eV/atom. As for the spin magnetization: 2.2 μB per formula unit.

abc: 5.0496 5.0496 5.0496
angles: 90.00 90.00 90.00
Closest atoms and distances in Å follow each position.
Space group Pm-3m (No. 221)
Inequivalent atoms, fractional coordinates:
V 0.0000 0.0000 0.0000 x1  6 Au 2.52
Au 0.0000 0.0000 0.5000 x3  2 V 2.52
I 0.5000 0.5000 0.5000 x1  12 Au 3.57

=====

ii | Density functional theory data (PBE) for VAu3I after structural relaxation.

Computed properties:
As for the density of states at the Fermi level: 1.54 states/eV/atom. As for the spin magnetization: 3.8 μB per formula unit.

abc: 5.3481 5.3481 5.3481
angles: 90.00 90.00 90.00
Closest atoms and distances in Å follow each position.
Space group Pm-3m (No. 221)
Inequivalent atoms, fractional coordinates:
V 0.0000 0.0000 0.0000 x1  12 Au 3.78
Au 0.0000 0.5000 0.5000 x3  2 I 2.67
I 0.5000 0.5000 0.5000 x1  6 Au 2.67

=====

Most stable: i (next structure +469 meV per atom)